The following is a DFT calculation (PBE-GGA) of an optimized crystal structure of ZrSb2TeC.

a = 4.746 Å, b = 4.746 Å, c = 4.745 Å
α = 90.00°, β = 90.00°, γ = 90.00°
Fractional positions:
1 Zr 0.000 0.000 0.000
2 Sb 0.000 0.500 0.500
3 Sb 0.500 0.000 0.500
4 Te 0.500 0.500 0.000
5 C 0.500 0.500 0.500

Properties
Formation energy without anion corrections ... 3.58 eV per formula unit
Energy above the lowest structure with this stoichiometry ... 0 meV/atom
Total magnetic moment ... 0.000 μB per formula unit